# 1
Entry from the Alexandria database: crystalline BaSi3Hg at its relaxed geometry (PBEsol).

Cell: 5.601 5.601 5.601 Å, 90.00 90.00 90.00°
Element x y z (fractional)
Hg 0.500 0.500 0.500
Ba 0.000 0.000 0.000
Si 0.000 0.500 0.000
Si 0.500 0.000 0.000
Si 0.000 0.000 0.500

Computed properties:
**Mass density**: 3989 kg/m3
**Total magnetic moment**: 0.00 μB/f.u.
**Energy relative to the elements, uncorrected**: 8.7 eV/f.u.

***

# 2
Entry from the Alexandria database: crystalline BaSiHg3 at its relaxed geometry (PBEsol).

Cell: 5.181 5.181 5.181 Å, 90.00 90.00 90.00°
Element x y z (fractional)
Si 0.000 0.000 0.000
Hg 0.000 0.000 0.500
Ba 0.500 0.500 0.500
Hg 0.000 0.500 0.000
Hg 0.500 0.000 0.000

Computed properties:
**Mass density**: 9160 kg/m3
**Total magnetic moment**: 0.00 μB/f.u.
**Energy relative to the elements, uncorrected**: -0.8 eV/f.u.

***

# 3
Entry from the Alexandria database: crystalline BaSiHg2 at its relaxed geometry (PBEsol).

Cell: 4.571 4.595 6.546 Å, 110.31 90.00 119.83°
Element x y z (fractional)
Si 0.500 0.000 0.000
Hg 0.783 0.567 0.849
Ba 0.000 0.000 0.500
Hg 0.217 0.433 0.151

Computed properties:
**Mass density**: 8607 kg/m3
**Total magnetic moment**: 0.00 μB/f.u.
**Energy relative to the elements, uncorrected**: -1.0 eV/f.u.

***

# 4
Entry from the Alexandria database: crystalline BaSiHg2 at its relaxed geometry (PBEsol).

Cell: 3.867 4.476 6.489 Å, 90.00 105.09 90.00°
Element x y z (fractional)
Hg 0.659 0.000 0.802
Si 0.500 0.500 0.000
Hg 0.341 0.000 0.198
Ba 0.000 0.500 0.500

Computed properties:
**Mass density**: 8677 kg/m3
**Total magnetic moment**: 0.00 μB/f.u.
**Energy relative to the elements, uncorrected**: -0.6 eV/f.u.

***

# 5
Entry from the Alexandria database: crystalline BaSn2Hg2 at its relaxed geometry (PBEsol).

Cell: 4.876 4.876 6.938 Å, 110.58 110.58 90.00°
Element x y z (fractional)
Sn 0.250 0.750 0.500
Hg 0.386 0.386 0.772
Ba 0.000 0.000 0.000
Hg 0.614 0.614 0.228
Sn 0.750 0.250 0.500

Computed properties:
**Energy of formation from the pure elements**: -0.46 eV/atom
**Mass density**: 9001 kg/m3
**Total magnetic moment**: 0.00 μB/f.u.

***

# 6
Entry from the Alexandria database: crystalline Ba2SrHg at its relaxed geometry (PBEsol).

Cell: 4.182 6.242 7.725 Å, 113.83 105.71 90.00°
Element x y z (fractional)
Ba 0.998 0.998 0.996
Hg 0.504 0.504 0.008
Ba 0.806 0.306 0.612
Sr 0.192 0.692 0.383

Computed properties:
**Energy of formation from the pure elements**: -0.26 eV/atom
**Mass density**: 5304 kg/m3
**Total magnetic moment**: 0.00 μB/f.u.

***

# 7
Entry from the Alexandria database: crystalline Ba2SrHg at its relaxed geometry (PBEsol).

Cell: 4.163 4.163 10.391 Å, 90.00 90.02 90.00°
Element x y z (fractional)
Ba 0.999 0.000 0.815
Hg 0.500 0.500 0.000
Ba 0.001 0.000 0.185
Sr 0.500 0.500 0.500

Computed properties:
**Energy of formation from the pure elements**: -0.29 eV/atom
**Mass density**: 5191 kg/m3
**Total magnetic moment**: 0.00 μB/f.u.

***

# 8
Entry from the Alexandria database: crystalline BaSrHg at its relaxed geometry (PBEsol).

Cell: 4.582 5.476 5.476 Å, 120.00 90.00 90.00°
Element x y z (fractional)
Sr 0.439 0.667 0.333
Hg 0.602 0.333 0.667
Ba 0.958 0.000 0.000

Computed properties:
**Energy of formation from the pure elements**: -0.24 eV/atom
**Mass density**: 5938 kg/m3
**Total magnetic moment**: 0.00 μB/f.u.
**ΔE to the lowest computed polymorph**: 16.0 kJ/mol of atoms

***

# 9
Entry from the Alexandria database: crystalline BaSr2Hg at its relaxed geometry (PBEsol).

Cell: 4.076 4.076 10.266 Å, 90.00 90.00 90.00°
Element x y z (fractional)
Sr 0.500 0.500 0.238
Hg 0.500 0.500 0.763
Ba 0.000 0.000 0.564
Sr 0.000 0.000 0.935

Computed properties:
**Energy of formation from the pure elements**: -0.30 eV/atom
**Mass density**: 4997 kg/m3
**Total magnetic moment**: 0.00 μB/f.u.

***

# 10
Entry from the Alexandria database: crystalline BaSrHg at its relaxed geometry (PBEsol).

Cell: 4.047 4.047 7.774 Å, 105.09 105.09 90.00°
Element x y z (fractional)
Sr 0.704 0.704 0.409
Ba 0.969 0.969 0.938
Hg 0.327 0.327 0.653

Computed properties:
**Energy of formation from the pure elements**: -0.41 eV/atom
**Mass density**: 5969 kg/m3
**Total magnetic moment**: 0.00 μB/f.u.
**ΔE to the lowest computed polymorph**: 0.0 kJ/mol of atoms

***

# 11
Entry from the Alexandria database: crystalline BaSr3Hg at its relaxed geometry (PBEsol).

Cell: 6.294 6.294 6.294 Å, 90.00 90.00 90.00°
Element x y z (fractional)
Sr 0.500 0.000 0.000
Ba 0.500 0.500 0.500
Hg 0.000 0.000 0.000
Sr 0.000 0.500 0.000
Sr 0.000 0.000 0.500

Computed properties:
**Energy of formation from the pure elements**: -0.18 eV/atom
**Mass density**: 4001 kg/m3
**Total magnetic moment**: 0.00 μB/f.u.

***

# 12
Entry from the Alexandria database: crystalline Ba2SrHg at its relaxed geometry (PBEsol).

Cell: 5.269 5.269 6.947 Å, 112.28 112.28 90.00°
Element x y z (fractional)
Ba 0.750 0.250 0.500
Ba 0.000 0.000 0.000
Sr 0.250 0.750 0.500
Hg 0.500 0.500 0.000

Computed properties:
**Energy of formation from the pure elements**: -0.09 eV/atom
**Mass density**: 5742 kg/m3
**Total magnetic moment**: 0.00 μB/f.u.